1.
TmHf2Ga: optimized geometry, PBE.

Properties
Crystal system = trigonal
Mass density = 10.80 g/cm3
Energy relative to the elements = 0.20 eV per atom
Size of the total moment = 0.001 μB/atom

abc: 3.106 3.106 32.889
angles: 90.00 90.00 120.00
Positions (direct):
Tm 0.000 0.000 0.000
Tm 0.333 0.667 0.667
Tm 0.667 0.333 0.333
Hf 0.000 0.000 0.096
Hf 0.000 0.000 0.904
Hf 0.333 0.667 0.571
Hf 0.333 0.667 0.762
Hf 0.667 0.333 0.238
Hf 0.667 0.333 0.429
Ga 0.000 0.000 0.500
Ga 0.333 0.667 0.167
Ga 0.667 0.333 0.833

2.
Be4CoP: optimized geometry, PBE.

Properties
Crystal system = cubic
Mass density = 3.95 g/cm3
Energy relative to the elements = -0.03 eV per atom
Size of the total moment = 0.000 μB/atom

abc: 4.217 4.217 4.217
angles: 60.00 60.00 60.00
Positions (direct):
Be 0.377 0.377 0.377
Be 0.377 0.377 0.870
Be 0.377 0.870 0.377
Be 0.870 0.377 0.377
Co 0.750 0.750 0.750
P 0.000 0.000 0.000

3.
ZrSiW2: optimized geometry, PBE.

Properties
Crystal system = orthorhombic
Mass density = 12.02 g/cm3
Size of the total moment = 0.000 μB/atom
Uncorrected formation energy = -0.013 eV per atom

abc: 3.340 4.655 8.657
angles: 90.00 90.00 90.00
Positions (direct):
Zr 0.000 0.000 0.000
Zr 0.500 0.500 0.000
Si 0.000 0.500 0.747
Si 0.500 0.000 0.747
W 0.000 0.000 0.523
W 0.000 0.500 0.276
W 0.500 0.000 0.276
W 0.500 0.500 0.523

4.
Ho2TiGa3Pt4: optimized geometry, PBE.

Properties
Crystal system = tetragonal
Mass density = 12.18 g/cm3
Energy relative to the elements = -0.95 eV per atom
Size of the total moment = 0.000 μB/atom

abc: 4.068 4.068 11.259
angles: 90.00 90.00 90.00
Positions (direct):
Ho 0.000 0.500 0.242
Ho 0.500 0.000 0.758
Ti 0.000 0.000 0.500
Ga 0.000 0.500 0.865
Ga 0.500 0.000 0.135
Ga 0.500 0.500 0.500
Pt 0.000 0.000 0.000
Pt 0.000 0.500 0.645
Pt 0.500 0.000 0.355
Pt 0.500 0.500 0.000

5.
La4Tb4Y: optimized geometry, PBE.

Properties
Crystal system = tetragonal
Mass density = 6.91 g/cm3
Energy relative to the elements = 0.02 eV per atom
Size of the total moment = 0.000 μB/atom

abc: 8.129 8.129 8.129
angles: 95.82 95.82 142.85
Positions (direct):
La 0.168 0.168 0.337
La 0.168 0.832 0.000
La 0.832 0.168 0.000
La 0.832 0.832 0.663
Tb 0.164 0.500 0.664
Tb 0.500 0.164 0.664
Tb 0.500 0.836 0.336
Tb 0.836 0.500 0.336
Y 0.500 0.500 0.000

6.
CsTl2BiRu: optimized geometry, PBE.

Properties
Crystal system = tetragonal
Mass density = 5.08 g/cm3
Energy relative to the elements = 1.24 eV per atom
Size of the total moment = 0.594 μB/atom

abc: 6.095 6.095 7.496
angles: 90.00 90.00 90.00
Positions (direct):
Cs 0.000 0.000 0.000
Tl 0.000 0.500 0.500
Tl 0.500 0.000 0.500
Bi 0.000 0.000 0.500
Ru 0.500 0.500 0.000

7.
Er5Sc4Ir4: optimized geometry, PBE.

Properties
Crystal system = tetragonal
Mass density = 10.20 g/cm3
Energy relative to the elements = -0.70 eV per atom
Size of the total moment = 0.000 μB/atom

abc: 8.523 8.523 8.523
angles: 93.60 93.60 150.99
Positions (direct):
Er 0.000 0.000 0.000
Er 0.309 0.628 0.937
Er 0.372 0.309 0.681
Er 0.628 0.691 0.319
Er 0.691 0.372 0.063
Sc 0.109 0.404 0.513
Sc 0.404 0.891 0.296
Sc 0.596 0.109 0.704
Sc 0.891 0.596 0.487
Ir 0.074 0.748 0.822
Ir 0.252 0.074 0.326
Ir 0.748 0.926 0.674
Ir 0.926 0.252 0.178

8.
KCdNi4: optimized geometry, PBE.

Properties
Crystal system = cubic
Mass density = 6.98 g/cm3
Energy relative to the elements = 0.37 eV per atom
Size of the total moment = 0.209 μB/atom

abc: 5.066 5.066 5.066
angles: 60.00 60.00 60.00
Positions (direct):
K 0.000 0.000 0.000
Cd 0.250 0.250 0.250
Ni 0.127 0.624 0.624
Ni 0.624 0.127 0.624
Ni 0.624 0.624 0.127
Ni 0.624 0.624 0.624